# Al2GaPd | Alexandria via LeMat-Bulk | PBE-GGA | relaxed
# Size of the total moment, μB per formula unit: 0.000
# Calculated total energy, eV per cell: -16.9
# Energy of formation, eV per atom: -0.288
data_Al2GaPd
_chemical_formula_sum 'Al2 Ga1 Pd1'
_cell_length_a 2.9751
_cell_length_b 2.9751
_cell_length_c 9.1988
_cell_angle_alpha 80.69
_cell_angle_beta 80.69
_cell_angle_gamma 60.00
_symmetry_space_group_name_H-M 'P 1'
_symmetry_Int_Tables_number 1
_symmetry_space_group_name_Hall 'P 1'
loop_
_atom_site_label
_atom_site_fract_x
_atom_site_fract_y
_atom_site_fract_z
Ga1 0.0000 0.0000 0.0000
Pd1 0.5000 0.5000 0.5000
Al1 0.0947 0.0947 0.7160
Al2 0.9053 0.9053 0.2840

---

# Sc2Nb2Tc | Alexandria via LeMat-Bulk | PBE-GGA | relaxed
# Size of the total moment, μB per formula unit: 0.000
# Calculated total energy, eV per cell: -85.6
# Energy of formation, eV per atom: 0.072
data_Sc2Nb2Tc
_chemical_formula_sum 'Sc4 Nb4 Tc2'
_cell_length_a 6.4785
_cell_length_b 6.4785
_cell_length_c 4.8947
_cell_angle_alpha 90.00
_cell_angle_beta 90.00
_cell_angle_gamma 90.00
_symmetry_space_group_name_H-M 'P 1'
_symmetry_Int_Tables_number 1
_symmetry_space_group_name_Hall 'P 1'
loop_
_atom_site_label
_atom_site_fract_x
_atom_site_fract_y
_atom_site_fract_z
Sc1 0.1691 0.6691 0.5000
Sc2 0.6691 0.8309 0.5000
Sc3 0.8309 0.3309 0.5000
Sc4 0.3309 0.1691 0.5000
Nb1 0.3553 0.8553 0.0000
Nb2 0.8553 0.6447 0.0000
Nb3 0.6447 0.1447 0.0000
Nb4 0.1447 0.3553 0.0000
Tc1 0.0000 0.0000 0.0000
Tc2 0.5000 0.5000 0.0000

---

# NaCa2PmBr8 | Alexandria via LeMat-Bulk | PBE-GGA | relaxed
# Energy relative to the elements, uncorrected, meV per atom: -1883
# Size of the total moment, μB per formula unit: 0.000
# Calculated total energy, eV per cell: -46.1
data_NaCa2PmBr8
_chemical_formula_sum 'Na1 Ca2 Pm1 Br8'
_cell_length_a 7.0012
_cell_length_b 6.7434
_cell_length_c 8.8143
_cell_angle_alpha 90.00
_cell_angle_beta 90.00
_cell_angle_gamma 90.14
_symmetry_space_group_name_H-M 'P 1'
_symmetry_Int_Tables_number 1
_symmetry_space_group_name_Hall 'P 1'
loop_
_atom_site_label
_atom_site_fract_x
_atom_site_fract_y
_atom_site_fract_z
Na1 0.0000 0.0000 0.5000
Ca1 0.5000 0.5000 0.7405
Ca2 0.5000 0.5000 0.2595
Pm1 0.0000 0.0000 0.0000
Br1 0.1722 0.7720 0.2385
Br2 0.6712 0.7277 0.0000
Br3 0.8279 0.2280 0.2385
Br4 0.8278 0.2280 0.7615
Br5 0.3288 0.2723 0.0000
Br6 0.1721 0.7720 0.7615
Br7 0.6683 0.7238 0.5000
Br8 0.3317 0.2762 0.5000

---

# Tb4Ga16Ru3 | Alexandria via LeMat-Bulk | PBE-GGA | relaxed
# Size of the total moment, μB per formula unit: 0.000
# Calculated total energy, eV per cell: -107.2
# Energy of formation, eV per atom: -0.541
data_Tb4Ga16Ru3
_chemical_formula_sum 'Tb4 Ga16 Ru3'
_cell_length_a 6.1285
_cell_length_b 6.1285
_cell_length_c 11.3163
_cell_angle_alpha 90.00
_cell_angle_beta 90.00
_cell_angle_gamma 90.00
_symmetry_space_group_name_H-M 'P 1'
_symmetry_Int_Tables_number 1
_symmetry_space_group_name_Hall 'P 1'
loop_
_atom_site_label
_atom_site_fract_x
_atom_site_fract_y
_atom_site_fract_z
Tb1 0.5000 0.0000 0.8082
Tb2 0.0000 0.5000 0.1918
Tb3 0.0000 0.5000 0.8082
Tb4 0.5000 0.0000 0.1918
Ga1 0.0000 0.0000 0.7796
Ga2 0.2862 0.2862 0.0000
Ga3 0.5000 0.5000 0.8034
Ga4 0.7138 0.2862 0.0000
Ga5 0.5000 0.5000 0.1966
Ga6 0.7138 0.7138 0.0000
Ga7 0.0000 0.0000 0.2204
Ga8 0.7509 0.7509 0.6192
Ga9 0.7509 0.2491 0.3808
Ga10 0.2491 0.2491 0.6192
Ga11 0.2491 0.7509 0.3808
Ga12 0.2862 0.7138 0.0000
Ga13 0.7509 0.7509 0.3808
Ga14 0.7509 0.2491 0.6192
Ga15 0.2491 0.2491 0.3808
Ga16 0.2491 0.7509 0.6192
Ru1 0.0000 0.5000 0.5000
Ru2 0.0000 0.0000 0.0000
Ru3 0.5000 0.0000 0.5000

---

# La4MnCd | Alexandria via LeMat-Bulk | PBE-GGA | relaxed
# Size of the total moment, μB per formula unit: 0.223
# Calculated total energy, eV per cell: -59.9
# Energy of formation, eV per atom: -0.027
# Excess energy over the best structure of this formula in the dataset, eV per formula unit: 0.00
data_La4MnCd
_chemical_formula_sum 'La8 Mn2 Cd2'
_cell_length_a 6.2462
_cell_length_b 8.0032
_cell_length_c 8.0032
_cell_angle_alpha 108.87
_cell_angle_beta 100.49
_cell_angle_gamma 100.49
_symmetry_space_group_name_H-M 'P 1'
_symmetry_Int_Tables_number 1
_symmetry_space_group_name_Hall 'P 1'
loop_
_atom_site_label
_atom_site_fract_x
_atom_site_fract_y
_atom_site_fract_z
La1 0.8740 0.6207 0.8000
La2 0.0497 0.9511 0.2611
La3 0.6260 0.2000 0.3793
La4 0.4503 0.7389 0.0489
La5 0.5497 0.2611 0.9511
La6 0.3740 0.8000 0.6207
La7 0.9503 0.0489 0.7389
La8 0.1260 0.3793 0.2000
Mn1 0.2500 0.0036 0.9964
Mn2 0.7500 0.9964 0.0036
Cd1 0.7500 0.6235 0.3765
Cd2 0.2500 0.3765 0.6235

---

# Sm3MnP2Rh9 | Alexandria via LeMat-Bulk | PBE-GGA | relaxed
# Size of the total moment, μB per formula unit: 3.082
# Calculated total energy, eV per cell: -108.4
# Energy of formation, eV per atom: -0.538
data_Sm3MnP2Rh9
_chemical_formula_sum 'Sm3 Mn1 P2 Rh9'
_cell_length_a 6.0585
_cell_length_b 6.0585
_cell_length_c 8.6762
_cell_angle_alpha 90.00
_cell_angle_beta 90.00
_cell_angle_gamma 120.00
_symmetry_space_group_name_H-M 'P 1'
_symmetry_Int_Tables_number 1
_symmetry_space_group_name_Hall 'P 1'
loop_
_atom_site_label
_atom_site_fract_x
_atom_site_fract_y
_atom_site_fract_z
Sm1 0.3333 0.6667 0.6413
Sm2 0.0000 0.0000 0.0000
Sm3 0.6667 0.3333 0.3587
Mn1 0.0000 0.0000 0.5000
P1 0.3333 0.6667 0.1644
P2 0.6667 0.3333 0.8356
Rh1 0.8459 0.1541 0.7076
Rh2 0.8459 0.6919 0.7076
Rh3 0.3081 0.1541 0.7076
Rh4 0.6919 0.8459 0.2924
Rh5 0.1541 0.3081 0.2924
Rh6 0.1541 0.8459 0.2924
Rh7 0.5000 0.0000 0.0000
Rh8 0.0000 0.5000 0.0000
Rh9 0.5000 0.5000 0.0000

---

# AlHgW | Alexandria via LeMat-Bulk | PBE-GGA | relaxed
# Size of the total moment, μB per formula unit: 0.000
# Calculated total energy, eV per cell: -15.6
# Energy of formation, eV per atom: 0.473
# Excess energy over the best structure of this formula in the dataset, eV per formula unit: 0.26
data_AlHgW
_chemical_formula_sum 'Al1 Hg1 W1'
_cell_length_a 7.1614
_cell_length_b 7.0052
_cell_length_c 2.8502
_cell_angle_alpha 81.49
_cell_angle_beta 75.33
_cell_angle_gamma 23.18
_symmetry_space_group_name_H-M 'P 1'
_symmetry_Int_Tables_number 1
_symmetry_space_group_name_Hall 'P 1'
loop_
_atom_site_label
_atom_site_fract_x
_atom_site_fract_y
_atom_site_fract_z
Hg1 0.3358 0.3358 0.6642
W1 0.6558 0.6558 0.3442
Al1 0.0085 0.0085 0.9915

---

# Np2Al3Zn4 | Alexandria via LeMat-Bulk | PBE-GGA | relaxed
# Size of the total moment, μB per formula unit: 8.750
# Calculated total energy, eV per cell: -84.4
# Energy of formation, eV per atom: 0.003
data_Np2Al3Zn4
_chemical_formula_sum 'Np4 Al6 Zn8'
_cell_length_a 5.5912
_cell_length_b 7.6263
_cell_length_c 8.2799
_cell_angle_alpha 90.00
_cell_angle_beta 109.73
_cell_angle_gamma 90.00
_symmetry_space_group_name_H-M 'P 1'
_symmetry_Int_Tables_number 1
_symmetry_space_group_name_Hall 'P 1'
loop_
_atom_site_label
_atom_site_fract_x
_atom_site_fract_y
_atom_site_fract_z
Np1 0.0902 0.6187 0.1804
Np2 0.9098 0.3813 0.8196
Np3 0.4098 0.1187 0.8196
Np4 0.5902 0.8813 0.1804
Al1 0.0000 0.0000 0.0000
Al2 0.5000 0.5000 0.0000
Al3 0.5088 0.7500 0.5176
Al4 0.9912 0.2500 0.4824
Al5 0.4912 0.2500 0.4824
Al6 0.0088 0.7500 0.5176
Zn1 0.6742 0.7500 0.8484
Zn2 0.8258 0.2500 0.1516
Zn3 0.3258 0.2500 0.1516
Zn4 0.1742 0.7500 0.8484
Zn5 0.1720 0.9924 0.3440
Zn6 0.8280 0.0076 0.6560
Zn7 0.3280 0.4924 0.6560
Zn8 0.6720 0.5076 0.3440

---

# RbSiAs2Se | Alexandria via LeMat-Bulk | PBE-GGA | relaxed
# Energy relative to the elements, uncorrected, meV per atom: 1817
# Size of the total moment, μB per formula unit: 0.296
# Calculated total energy, eV per cell: -10.1
# Excess energy over the best structure of this formula in the dataset, eV per formula unit: 8.34
data_RbSiAs2Se
_chemical_formula_sum 'Rb1 Si1 As2 Se1'
_cell_length_a 5.5454
_cell_length_b 5.5454
_cell_length_c 5.6950
_cell_angle_alpha 90.00
_cell_angle_beta 90.00
_cell_angle_gamma 90.00
_symmetry_space_group_name_H-M 'P 1'
_symmetry_Int_Tables_number 1
_symmetry_space_group_name_Hall 'P 1'
loop_
_atom_site_label
_atom_site_fract_x
_atom_site_fract_y
_atom_site_fract_z
As1 0.0000 0.5000 0.0000
As2 0.5000 0.0000 0.0000
Si1 0.5000 0.5000 0.5000
Se1 0.0000 0.0000 0.5000
Rb1 0.0000 0.0000 0.0000

---

# CaMgNi3 | Alexandria via LeMat-Bulk | PBE-GGA | relaxed
# Size of the total moment, μB per formula unit: 0.000
# Calculated total energy, eV per cell: -18.2
# Energy of formation, eV per atom: 0.547
# Excess energy over the best structure of this formula in the dataset, eV per formula unit: 0.00
data_CaMgNi3
_chemical_formula_sum 'Ca1 Mg1 Ni3'
_cell_length_a 4.5072
_cell_length_b 4.5072
_cell_length_c 4.5072
_cell_angle_alpha 90.00
_cell_angle_beta 90.00
_cell_angle_gamma 90.00
_symmetry_space_group_name_H-M 'P 1'
_symmetry_Int_Tables_number 1
_symmetry_space_group_name_Hall 'P 1'
loop_
_atom_site_label
_atom_site_fract_x
_atom_site_fract_y
_atom_site_fract_z
Ni1 0.0000 0.5000 0.0000
Ni2 0.0000 0.0000 0.5000
Ni3 0.5000 0.0000 0.0000
Ca1 0.5000 0.5000 0.5000
Mg1 0.0000 0.0000 0.0000

---

# UInSn | Alexandria via LeMat-Bulk | PBE-GGA | relaxed
# Size of the total moment, μB per formula unit: 2.376
# Calculated total energy, eV per cell: -17.5
# Energy of formation, eV per atom: 0.181
# Excess energy over the best structure of this formula in the dataset, eV per formula unit: 0.51
data_UInSn
_chemical_formula_sum 'U1 In1 Sn1'
_cell_length_a 3.0455
_cell_length_b 3.0455
_cell_length_c 8.3071
_cell_angle_alpha 100.56
_cell_angle_beta 100.56
_cell_angle_gamma 90.00
_symmetry_space_group_name_H-M 'P 1'
_symmetry_Int_Tables_number 1
_symmetry_space_group_name_Hall 'P 1'
loop_
_atom_site_label
_atom_site_fract_x
_atom_site_fract_y
_atom_site_fract_z
U1 0.3337 0.3337 0.6673
Sn1 0.6734 0.6734 0.3469
In1 0.9929 0.9929 0.9858

---

# Pr5Tl2Rh2 | Alexandria via LeMat-Bulk | PBE-GGA | relaxed
# Size of the total moment, μB per formula unit: 0.000
# Calculated total energy, eV per cell: -95.0
# Energy of formation, eV per atom: -0.463
data_Pr5Tl2Rh2
_chemical_formula_sum 'Pr10 Tl4 Rh4'
_cell_length_a 8.7601
_cell_length_b 7.3517
_cell_length_c 8.9290
_cell_angle_alpha 114.31
_cell_angle_beta 90.00
_cell_angle_gamma 90.00
_symmetry_space_group_name_H-M 'P 1'
_symmetry_Int_Tables_number 1
_symmetry_space_group_name_Hall 'P 1'
loop_
_atom_site_label
_atom_site_fract_x
_atom_site_fract_y
_atom_site_fract_z
Pr1 0.0000 0.0000 0.0000
Pr2 0.5000 0.5000 0.0000
Pr3 0.8210 0.7760 0.2390
Pr4 0.1790 0.4630 0.2390
Pr5 0.3210 0.9630 0.2390
Pr6 0.6790 0.2760 0.2390
Pr7 0.1790 0.2240 0.7610
Pr8 0.8210 0.5370 0.7610
Pr9 0.6790 0.0370 0.7610
Pr10 0.3210 0.7240 0.7610
Tl1 0.0000 0.2146 0.4291
Tl2 0.5000 0.7146 0.4291
Tl3 0.0000 0.7854 0.5709
Tl4 0.5000 0.2854 0.5709
Rh1 0.6198 0.8659 0.0000
Rh2 0.3802 0.1341 0.0000
Rh3 0.1198 0.6341 0.0000
Rh4 0.8802 0.3659 0.0000